DFT (GGA-PBE) results for a geometry-optimized Ac2BeH structure.

Summary:
As for the magnetization: 0.0 μB/cell. The calculation puts the energy at -3.6815 eV per atom. Its crystal system is trigonal.

abc: 4.1015 4.1015 21.4845
angles: 90.00 90.00 120.00
Space group R-3m (No. 166, hexagonal axes)
Unique sites:
Ac (0.0000, 0.0000, 0.2416) [6 per cell]
Be (0.0000, 0.0000, 0.0000) [3 per cell]
H (0.0000, 0.0000, 0.5000) [3 per cell]


DFT (GGA-PBE) results for a geometry-optimized Hf3Zn2Ir structure.

Summary:
As for the magnetization: 0.0 μB/cell. Its crystal system is trigonal. For the energy relative to the elements, the calculation gives -0.43 eV per atom.

abc: 4.6577 4.6577 5.7092
angles: 90.00 90.00 120.00
Space group P-3m1 (No. 164)
Unique sites:
Hf (0.0000, 0.0000, 0.0000) [1 per cell]
Hf (0.3333, 0.6667, 0.6642) [2 per cell]
Zn (0.3333, 0.6667, 0.1625) [2 per cell]
Ir (0.0000, 0.0000, 0.5000) [1 per cell]


DFT (GGA-PBE) results for a geometry-optimized NaPrNpO6 structure.

Summary:
As for the magnetization: 1.9 μB/cell. The calculation puts the energy at -7.8396 eV per atom. Its crystal system is trigonal.

abc: 5.7029 5.7029 9.9731
angles: 90.00 90.00 120.00
Space group P-31c (No. 163)
Unique sites:
Na (0.3333, 0.6667, 0.2500) [2 per cell]
Pr (0.0000, 0.0000, 0.0000) [2 per cell]
Np (0.3333, 0.6667, 0.7500) [2 per cell]
O (0.0499, 0.3729, 0.6361) [12 per cell]


DFT (GGA-PBE) results for a geometry-optimized MgCu2Ru structure.

Summary:
As for the magnetization: 0.0 μB/cell. Its crystal system is orthorhombic. For the energy relative to the elements, the calculation gives 0.13 eV per atom.

abc: 2.645 3.922 5.373
angles: 90.00 90.00 90.00
Space group Pmmm (No. 47)
Unique sites:
Mg (0.000, 0.000, 0.000) [1 per cell]
Cu (0.500, 0.500, 0.264) [2 per cell]
Ru (0.000, 0.000, 0.500) [1 per cell]


DFT (GGA-PBE) results for a geometry-optimized Ce2PdPb structure.

Summary:
As for the magnetization: 8.9 μB/cell. For the offset from the most stable computed form, the calculation gives 0.112 eV/atom. Its crystal system is cubic. For the energy relative to the elements, the calculation gives -0.39 eV per atom.

abc: 7.558 7.558 7.558
angles: 90.00 90.00 90.00
Space group Fm-3m (No. 225)
Unique sites:
Ce (0.250, 0.250, 0.250) [8 per cell]
Pd (0.000, 0.000, 0.000) [4 per cell]
Pb (0.000, 0.000, 0.500) [4 per cell]


DFT (GGA-PBE) results for a geometry-optimized Sr2Li3CdAu4 structure.

Summary:
As for the magnetization: 0.0 μB/cell. Its crystal system is tetragonal. For the energy relative to the elements, the calculation gives -0.57 eV per atom.

abc: 4.521 4.521 11.084
angles: 90.00 90.00 90.00
Space group P-4m2 (No. 115)
Unique sites:
Sr (0.000, 0.500, 0.235) [2 per cell]
Li (0.000, 0.500, 0.888) [2 per cell]
Li (0.500, 0.500, 0.500) [1 per cell]
Cd (0.000, 0.000, 0.500) [1 per cell]
Au (0.000, 0.000, 0.000) [1 per cell]
Au (0.000, 0.500, 0.655) [2 per cell]
Au (0.500, 0.500, 0.000) [1 per cell]


DFT (GGA-PBE) results for a geometry-optimized Pr7NdSm12 structure.

Summary:
As for the magnetization: 0.0 μB/cell. For the offset from the most stable computed form, the calculation gives 0.371 eV/atom. Its crystal system is cubic. For the energy relative to the elements, the calculation gives 0.59 eV per atom.

abc: 11.583 11.583 11.583
angles: 90.00 90.00 90.00
Space group Im-3m (No. 229)
Unique sites:
Pr (0.000, 0.000, 0.500) [6 per cell]
Pr (0.250, 0.250, 0.250) [8 per cell]
Nd (0.000, 0.000, 0.000) [2 per cell]
Sm (0.000, 0.249, 0.249) [24 per cell]


DFT (GGA-PBE) results for a geometry-optimized FeCo2Pt5 structure.

Summary:
As for the magnetization: 17.7 μB/cell. Its crystal system is orthorhombic. For the energy relative to the elements, the calculation gives -0.14 eV per atom.

abc: 5.447 10.903 3.843
angles: 90.00 90.00 90.00
Space group Pbam (No. 55)
Unique sites:
Fe (0.000, 0.000, 0.000) [2 per cell]
Co (0.249, 0.375, 0.500) [4 per cell]
Pt (0.000, 0.500, 0.000) [2 per cell]
Pt (0.009, 0.756, 0.000) [4 per cell]
Pt (0.239, 0.119, 0.500) [4 per cell]


| no. | calculated volume (A^3/atom) |
| --- | --- |
| 1 | 26.08 |
| 2 | 17.88 |
| 3 | 15.61 |
| 4 | 13.94 |
| 5 | 26.98 |
| 6 | 22.65 |
| 7 | 38.85 |
| 8 | 14.27 |